1.
Crystalline NaNpAg2S4 at its relaxed geometry, computed with PBE-GGA.

Calculated values
Raw formation energy   -68 kJ per mole of atoms
Total magnetization   0.274 μB per atom
DOS(E_F)   6.33 states/eV per cell

Cell: 5.3976 5.3976 6.8412 Å, 113.24 113.24 89.99°
With the nearest neighbours (Å) after each atom.
Positions (direct):
S (0.9770, 0.4770, 0.9539)  1 Np 2.58, 2 Na 2.71, 2 Ag 2.71
S (0.7486, 0.7486, 0.4972)  3 Ag 2.70-2.85, 2 Np 2.70, 1 Na 2.82
S (0.2514, 0.2514, 0.5028)  2 Np 2.70, 3 Ag 2.70-2.85, 1 Na 2.82
S (0.5230, 0.0230, 0.0461)  1 Np 2.58, 2 Ag 2.71, 2 Na 2.71
Ag (0.0000, 0.0000, 0.0000)  6 S 2.71-2.85
Ag (0.2500, 0.7500, 0.5000)  4 S 2.70
Na (0.5000, 0.5000, 0.0000)  6 S 2.71-2.82
Np (0.7500, 0.2500, 0.5000)  6 S 2.58-2.70

=====

2.
Crystalline Na3Np3AgSe8 at its relaxed geometry, computed with PBE-GGA.

Calculated values
Raw formation energy   -97 kJ per mole of atoms
Total magnetization   0.598 μB per atom
DOS(E_F)   27.25 states/eV per cell

Cell: 8.1879 8.1947 8.4423 Å, 119.09 90.00 119.97°
With the nearest neighbours (Å) after each atom.
Positions (direct):
Se (0.2485, 0.9778, 0.7261)  2 Np 2.81, 1 Ag 2.92, 2 Na 3.08
Se (0.7446, 0.4892, 0.7337)  3 Np 2.87, 3 Na 3.01
Se (0.7507, 0.5014, 0.2733)  2 Np 2.81, 1 Ag 2.93, 2 Na 3.08
Se (0.7293, 0.9778, 0.7261)  2 Np 2.81, 1 Ag 2.92, 2 Na 3.08
Se (0.2554, 0.5108, 0.2663)  3 Np 2.87, 3 Na 3.01
Se (0.2493, 0.4986, 0.7267)  2 Np 2.81, 1 Ag 2.93, 2 Na 3.08
Se (0.2707, 0.0222, 0.2739)  2 Np 2.81, 1 Ag 2.92, 2 Na 3.08
Se (0.7515, 0.0222, 0.2739)  2 Np 2.81, 1 Ag 2.92, 2 Na 3.08
Np (0.0000, 0.5000, 0.5000)  6 Se 2.81-2.87
Np (0.5000, 0.0000, 0.5000)  6 Se 2.81-2.87
Np (0.5000, 0.5000, 0.5000)  6 Se 2.81-2.87
Ag (0.0000, 0.0000, 0.5000)  6 Se 2.92-2.93
Na (0.5000, 0.5000, 0.0000)  6 Se 3.01-3.08
Na (0.0000, 0.0000, 0.0000)  6 Se 3.01-3.08
Na (0.0000, 0.5000, 0.0000)  6 Se 3.01-3.08

=====

3.
Crystalline Na2Np3AgSe6 at its relaxed geometry, computed with PBE-GGA.

Calculated values
Raw formation energy   -96 kJ per mole of atoms
Total magnetization   0.320 μB per atom
DOS(E_F)   26.59 states/eV per cell

Cell: 7.3071 7.3071 7.1669 Å, 99.61 99.61 120.07°
With the nearest neighbours (Å) after each atom.
Positions (direct):
Na (0.3337, 0.6663, 0.0000)  6 Se 3.01-3.02
Na (0.6663, 0.3337, 0.0000)  6 Se 3.01-3.02
Np (0.1659, 0.8341, 0.5000)  6 Se 2.90-2.92
Np (0.5000, 0.5000, 0.5000)  6 Se 2.93-2.95
Np (0.8341, 0.1659, 0.5000)  6 Se 2.90-2.92
Se (0.5791, 0.9145, 0.7375)  3 Np 2.90-2.93, 2 Na 3.01, 1 Ag 3.02
Se (0.4209, 0.0855, 0.2625)  3 Np 2.90-2.93, 2 Na 3.01, 1 Ag 3.02
Se (0.0855, 0.4209, 0.2625)  3 Np 2.90-2.93, 2 Na 3.01, 1 Ag 3.02
Se (0.2404, 0.2404, 0.7395)  3 Np 2.90-2.95, 1 Ag 2.96, 2 Na 3.02
Se (0.9145, 0.5791, 0.7375)  3 Np 2.90-2.93, 2 Na 3.01, 1 Ag 3.02
Se (0.7596, 0.7596, 0.2605)  3 Np 2.90-2.95, 1 Ag 2.96, 2 Na 3.02
Ag (0.0000, 0.0000, 0.0000)  6 Se 2.96-3.02

=====

4.
Crystalline Na2Np2AgSe6 at its relaxed geometry, computed with PBE-GGA.

Calculated values
Raw formation energy   -90 kJ per mole of atoms
Total magnetization   0.454 μB per atom
DOS(E_F)   18.13 states/eV per cell

Cell: 7.1123 7.1123 7.3860 Å, 98.35 98.35 121.58°
With the nearest neighbours (Å) after each atom.
Positions (direct):
Se (0.2711, 0.2711, 0.2767)  2 Np 2.80, 1 Ag 2.85, 2 Na 3.05
Se (0.0676, 0.4230, 0.7252)  2 Np 2.77-2.80, 1 Ag 2.97, 2 Na 3.02-3.04
Se (0.4230, 0.0676, 0.7252)  2 Np 2.77-2.80, 1 Ag 2.97, 2 Na 3.02-3.04
Se (0.5770, 0.9324, 0.2748)  2 Np 2.77-2.80, 1 Ag 2.97, 2 Na 3.02-3.04
Se (0.9324, 0.5770, 0.2748)  2 Np 2.77-2.80, 1 Ag 2.97, 2 Na 3.02-3.04
Se (0.7289, 0.7289, 0.7233)  2 Np 2.80, 1 Ag 2.85, 2 Na 3.05
Np (0.6643, 0.3357, 0.5000)  6 Se 2.77-2.80
Np (0.3357, 0.6643, 0.5000)  6 Se 2.77-2.80
Na (0.1588, 0.8412, 0.0000)  6 Se 3.02-3.05
Na (0.8412, 0.1588, 0.0000)  6 Se 3.02-3.05
Ag (0.0000, 0.0000, 0.5000)  6 Se 2.85-2.97

=====

5.
Crystalline NaNpAg2Se4 at its relaxed geometry, computed with PBE-GGA.

Calculated values
Raw formation energy   -47 kJ per mole of atoms
Total magnetization   0.329 μB per atom
DOS(E_F)   9.52 states/eV per cell

Cell: 7.0093 6.4330 6.4330 Å, 68.98 56.99 56.99°
With the nearest neighbours (Å) after each atom.
Positions (direct):
Ag (0.1821, 0.3179, 0.3179)  4 Se 2.59-2.76
Ag (0.8179, 0.6821, 0.6821)  4 Se 2.59-2.76
Se (0.5683, 0.4201, 0.9104)  2 Ag 2.59-2.76, 1 Np 2.76
Se (0.4317, 0.0896, 0.5799)  2 Ag 2.59-2.76, 1 Np 2.76
Se (0.1012, 0.9104, 0.4201)  2 Ag 2.59-2.76, 1 Np 2.76
Se (0.8988, 0.5799, 0.0896)  2 Ag 2.59-2.76, 1 Np 2.76
Na (0.0000, 0.0000, 0.0000)  4 Se 2.94
Np (0.5000, 0.5000, 0.5000)  4 Se 2.76

=====

6.
Crystalline Na4Np3AgSe8 at its relaxed geometry, computed with PBE-GGA.

Calculated values
Raw formation energy   -103 kJ per mole of atoms
Total magnetization   0.625 μB per atom
DOS(E_F)   29.17 states/eV per cell

Cell: 8.2971 8.4485 8.3004 Å, 119.46 119.99 90.00°
With the nearest neighbours (Å) after each atom.
Positions (direct):
Np (0.5000, 0.5000, 0.5000)  6 Se 2.85-2.89
Np (0.5000, 0.5000, 0.0000)  6 Se 2.85-2.89
Np (0.0000, 0.5000, 0.5000)  6 Se 2.85-2.89
Se (0.7438, 0.7315, 0.4876)  3 Np 2.89, 3 Na 3.04
Se (0.7528, 0.2721, 0.5056)  2 Np 2.85, 1 Ag 2.93, 3 Na 3.00-3.08
Se (0.2472, 0.7279, 0.4944)  2 Np 2.85, 1 Ag 2.93, 3 Na 3.00-3.08
Se (0.2470, 0.7276, 0.9808)  2 Np 2.85, 1 Ag 2.92, 3 Na 3.01-3.08
Se (0.7530, 0.2724, 0.0192)  2 Np 2.85, 1 Ag 2.92, 3 Na 3.01-3.08
Se (0.2662, 0.2724, 0.0192)  2 Np 2.85, 1 Ag 2.92, 3 Na 3.01-3.08
Se (0.2562, 0.2685, 0.5124)  3 Np 2.89, 3 Na 3.04
Se (0.7338, 0.7276, 0.9808)  2 Np 2.85, 1 Ag 2.92, 3 Na 3.01-3.08
Ag (0.0000, 0.5000, 0.0000)  6 Se 2.92-2.93
Na (0.0000, 0.0000, 0.5000)  6 Se 3.04-3.08
Na (0.5000, 0.0000, 0.0000)  6 Se 3.00-3.01
Na (0.5000, 0.0000, 0.5000)  6 Se 3.04-3.08
Na (0.0000, 0.0000, 0.0000)  6 Se 3.04-3.08

=====

7.
Crystalline Na2NpAgSe4 at its relaxed geometry, computed with PBE-GGA.

Calculated values
Raw formation energy   -83 kJ per mole of atoms
Total magnetization   0.253 μB per atom
DOS(E_F)   6.45 states/eV per cell

Cell: 4.1836 6.7334 7.4336 Å, 108.19 90.00 90.00°
With the nearest neighbours (Å) after each atom.
Positions (direct):
Na (0.0000, 0.5000, 0.5000)  6 Se 2.97-3.00
Na (0.5000, 0.0000, 0.5000)  6 Se 3.03-3.07
Se (0.5000, 0.2573, 0.2305)  1 Np 2.71, 2 Ag 2.91, 3 Na 3.00-3.03
Se (0.5000, 0.7427, 0.7695)  1 Np 2.71, 2 Ag 2.91, 3 Na 3.00-3.03
Se (0.0000, 0.7388, 0.2247)  1 Ag 2.78, 2 Np 2.84, 3 Na 2.97-3.07
Se (0.0000, 0.2612, 0.7753)  1 Ag 2.78, 2 Np 2.84, 3 Na 2.97-3.07
Ag (0.0000, 0.0000, 0.0000)  6 Se 2.78-2.91
Np (0.5000, 0.5000, 0.0000)  6 Se 2.71-2.84

=====

8.
Crystalline NaNp2AgTe4 at its relaxed geometry, computed with PBE-GGA.

Calculated values
Raw formation energy   -59 kJ per mole of atoms
Total magnetization   1.000 μB per atom
DOS(E_F)   42.28 states/eV per cell

Cell: 4.4112 7.6037 15.6947 Å, 90.00 90.00 106.86°
With the nearest neighbours (Å) after each atom.
Positions (direct):
Np (0.6318, 0.2635, 0.0698)  6 Te 3.12-3.14
Np (0.3682, 0.7365, 0.5698)  6 Te 3.12-3.14
Np (0.6318, 0.2635, 0.4302)  6 Te 3.12-3.14
Np (0.3682, 0.7365, 0.9302)  6 Te 3.12-3.14
Ag (0.8455, 0.6910, 0.7500)  4 Te 2.78-2.81
Ag (0.1545, 0.3090, 0.2500)  4 Te 2.78-2.81
Te (0.0000, 0.0000, 0.0000)  4 Np 3.12
Te (0.7234, 0.4467, 0.6109)  1 Ag 2.81, 3 Np 3.12-3.13
Te (0.7234, 0.4467, 0.8891)  1 Ag 2.81, 3 Np 3.12-3.13
Te (0.4622, 0.9244, 0.7500)  2 Ag 2.78
Te (0.2766, 0.5533, 0.1109)  1 Ag 2.81, 3 Np 3.12-3.13
Te (0.5378, 0.0756, 0.2500)  2 Ag 2.78
Te (0.0000, 0.0000, 0.5000)  4 Np 3.12
Te (0.2766, 0.5533, 0.3891)  1 Ag 2.81, 3 Np 3.12-3.13
Na (0.8681, 0.7362, 0.2500)  6 Te 3.31-3.38
Na (0.1319, 0.2638, 0.7500)  6 Te 3.31-3.38

=====

9.
Crystalline Na3Np3AgTe8 at its relaxed geometry, computed with PBE-GGA.

Calculated values
Raw formation energy   -60 kJ per mole of atoms
Total magnetization   0.614 μB per atom
DOS(E_F)   30.49 states/eV per cell

Cell: 8.7340 8.7225 9.0818 Å, 118.62 90.00 120.04°
With the nearest neighbours (Å) after each atom.
Positions (direct):
Te (0.2631, 0.0168, 0.2706)  2 Np 3.04, 1 Ag 3.10, 2 Na 3.26
Te (0.7538, 0.0168, 0.2706)  2 Np 3.04, 1 Ag 3.10, 2 Na 3.26
Te (0.2462, 0.9832, 0.7294)  2 Np 3.04, 1 Ag 3.10, 2 Na 3.26
Te (0.2445, 0.4890, 0.7280)  2 Np 3.04, 1 Ag 3.08, 2 Na 3.26
Te (0.7555, 0.5110, 0.2720)  2 Np 3.04, 1 Ag 3.08, 2 Na 3.26
Te (0.7455, 0.4910, 0.7364)  3 Np 3.09, 3 Na 3.21
Te (0.2545, 0.5090, 0.2636)  3 Np 3.09, 3 Na 3.21
Te (0.7369, 0.9832, 0.7294)  2 Np 3.04, 1 Ag 3.10, 2 Na 3.26
Na (0.0000, 0.0000, 0.0000)  6 Te 3.21-3.26
Na (0.5000, 0.5000, 0.0000)  6 Te 3.21-3.26
Na (0.0000, 0.5000, 0.0000)  6 Te 3.21-3.26
Np (0.5000, 0.5000, 0.5000)  6 Te 3.04-3.09
Np (0.5000, 0.0000, 0.5000)  6 Te 3.04-3.09
Np (0.0000, 0.5000, 0.5000)  6 Te 3.04-3.09
Ag (0.0000, 0.0000, 0.5000)  6 Te 3.08-3.10

=====

10.
Crystalline Na2NpAg2Te4 at its relaxed geometry, computed with PBE-GGA.

Calculated values
Raw formation energy   -56 kJ per mole of atoms
Total magnetization   0.336 μB per atom
DOS(E_F)   10.76 states/eV per cell

Cell: 4.4172 8.1586 8.2823 Å, 113.52 105.47 90.00°
With the nearest neighbours (Å) after each atom.
Positions (direct):
Ag (0.3165, 0.0105, 0.6329)  4 Te 2.81-2.95, 2 Ag 3.02
Ag (0.6835, 0.9895, 0.3671)  4 Te 2.81-2.95, 2 Ag 3.02
Te (0.7910, 0.7703, 0.5820)  3 Ag 2.87-2.95, 1 Np 3.08
Te (0.5009, 0.2634, 0.0019)  1 Ag 2.81, 2 Np 3.08
Te (0.4991, 0.7366, 0.9981)  1 Ag 2.81, 2 Np 3.08
Te (0.2090, 0.2297, 0.4180)  3 Ag 2.87-2.95, 1 Np 3.08
Np (0.0000, 0.0000, 0.0000)  6 Te 3.08
Na (0.8683, 0.4182, 0.7366)  5 Te 3.24-3.57, 1 Ag 3.52
Na (0.1317, 0.5818, 0.2634)  5 Te 3.24-3.57, 1 Ag 3.52